## MnTl2Ag (PBE)

Data for a geometry-optimized MnTl2Ag structure.

Summary:
The space group is F-43m. For the formation enthalpy at 0 K, the calculation gives 0.435 eV/atom. Its mass density is 10.337 g/cm3. The calculation puts the energy above the lowest structure with this stoichiometry at 142 meV/atom. For the energy, the calculation gives -3.753 eV per atom.

Cell and atoms, written as POSCAR:
```
MnTl2Ag
1.0
7.1614 0.0000 0.0000
0.0000 7.1614 0.0000
0.0000 0.0000 7.1614
Mn Tl Ag
4 8 4
Cartesian
0.0000 0.0000 0.0000 Mn
0.0000 3.5807 3.5807 Mn
3.5807 0.0000 3.5807 Mn
3.5807 3.5807 0.0000 Mn
0.0000 0.0000 3.5807 Tl
0.0000 3.5807 0.0000 Tl
1.7904 1.7904 1.7904 Tl
1.7904 5.3711 5.3711 Tl
3.5807 0.0000 0.0000 Tl
3.5807 3.5807 3.5807 Tl
5.3711 1.7904 5.3711 Tl
5.3711 5.3711 1.7904 Tl
1.7904 1.7904 5.3711 Ag
1.7904 5.3711 1.7904 Ag
5.3711 1.7904 1.7904 Ag
5.3711 5.3711 5.3711 Ag
```